The following is a DFT calculation (PBE) of a relaxed BaCd2BO4 crystal.

Lattice parameters (Å, degrees): 8.236 8.254 6.755 90.00 90.00 90.00
Space group Fmm2 (No. 42)
Symmetry-distinct sites (fractional):
Ba (0.000, 0.000, 0.000) x4
Cd (0.250, 0.250, 0.250) x8
B (0.000, 0.000, 0.500) x4
O (0.000, 0.153, 0.373) x8
O (0.154, 0.000, 0.627) x8

## Properties
M_tot	0.00	μB per formula unit
crystal system	orthorhombic
raw formation energy	-1.624	eV/atom